Here is a geometry-optimized Ag12Te3S5 structure from Alexandria. Energies are from PBE-GGA.

Calculated values
ΔE_f (raw)	0.03	eV/atom
density of states at the Fermi level	45.50	states/eV per cell
symmetry	Ia-3d

Cell: 13.4629 13.4629 13.4629 Å, 109.47 109.47 109.47°
Last column: nearest neighbours and their distance in Å.
Positions (direct):
Te 0.7500 0.3750 0.1250  8 Ag 2.85-3.00
Te 0.8750 0.7500 0.1250  8 Ag 2.85-3.00
Te 0.3750 0.7500 0.6250  8 Ag 2.85-3.00
Te 0.2500 0.1250 0.3750  8 Ag 2.85-3.00
Te 0.8750 0.1250 0.2500  8 Ag 2.85-3.00
Te 0.3750 0.6250 0.2500  8 Ag 2.85-3.00
Te 0.6250 0.3750 0.7500  8 Ag 2.85-3.00
Te 0.1250 0.8750 0.7500  8 Ag 2.85-3.00
Te 0.7500 0.8750 0.6250  8 Ag 2.85-3.00
Te 0.6250 0.2500 0.3750  8 Ag 2.85-3.00
Te 0.1250 0.2500 0.8750  8 Ag 2.85-3.00
Te 0.2500 0.6250 0.8750  8 Ag 2.85-3.00
S 0.1250 0.3750 0.2500  4 Ag 2.47
S 0.0000 0.5000 0.0000  6 Ag 2.59
S 0.0000 0.0000 0.0000  6 Ag 2.59
S 0.3750 0.2500 0.1250  4 Ag 2.47
S 0.5000 0.0000 0.5000  6 Ag 2.59
S 0.5000 0.5000 0.0000  6 Ag 2.59
S 0.1250 0.7500 0.3750  4 Ag 2.47
S 0.7500 0.1250 0.8750  4 Ag 2.47
S 0.7500 0.6250 0.3750  4 Ag 2.47
S 0.3750 0.1250 0.7500  4 Ag 2.47
S 0.6250 0.8750 0.2500  4 Ag 2.47
S 0.5000 0.5000 0.5000  6 Ag 2.59
S 0.5000 0.0000 0.0000  6 Ag 2.59
S 0.0000 0.0000 0.5000  6 Ag 2.59
S 0.2500 0.3750 0.6250  4 Ag 2.47
S 0.2500 0.8750 0.1250  4 Ag 2.47
S 0.0000 0.5000 0.5000  6 Ag 2.59
S 0.8750 0.2500 0.6250  4 Ag 2.47
S 0.6250 0.7500 0.8750  4 Ag 2.47
S 0.8750 0.6250 0.7500  4 Ag 2.47
Ag 0.7191 0.1250 0.0458  2 S 2.47-2.59
Ag 0.3266 0.5458 0.4207  2 S 2.47-2.59
Ag 0.9542 0.3750 0.2809  2 S 2.47-2.59
Ag 0.5458 0.2191 0.1250  2 S 2.47-2.59
Ag 0.5941 0.7191 0.6734  2 S 2.47-2.59
Ag 0.9542 0.5793 0.1734  2 S 2.47-2.59
Ag 0.3266 0.7809 0.4059  2 S 2.47-2.59
Ag 0.0793 0.9059 0.1250  2 S 2.47-2.59
Ag 0.5793 0.9542 0.6734  2 S 2.47-2.59
Ag 0.7191 0.5941 0.1734  2 S 2.47-2.59
Ag 0.7809 0.4542 0.3750  2 S 2.47-2.59
Ag 0.8266 0.9207 0.0458  2 S 2.47-2.59
Ag 0.1250 0.7191 0.5458  2 S 2.47-2.59
Ag 0.3750 0.4207 0.0941  2 S 2.47-2.59
Ag 0.0941 0.9207 0.3750  2 S 2.47-2.59
Ag 0.4059 0.1250 0.5793  2 S 2.47-2.59
Ag 0.0941 0.1734 0.2191  2 S 2.47-2.59
Ag 0.4542 0.6734 0.0793  2 S 2.47-2.59
Ag 0.8266 0.9059 0.2809  2 S 2.47-2.59
Ag 0.1250 0.4059 0.0793  2 S 2.47-2.59
Ag 0.3750 0.9542 0.7809  2 S 2.47-2.59
Ag 0.5793 0.6250 0.4059  2 S 2.47-2.59
Ag 0.9207 0.8266 0.5458  2 S 2.47-2.59
Ag 0.7809 0.3266 0.9059  2 S 2.47-2.59
Ag 0.4207 0.3750 0.5941  2 S 2.47-2.59
Ag 0.0793 0.1734 0.4542  2 S 2.47-2.59
Ag 0.2191 0.6734 0.0941  2 S 2.47-2.59
Ag 0.1734 0.0941 0.7191  2 S 2.47-2.59
Ag 0.6250 0.0458 0.2191  2 S 2.47-2.59
Ag 0.8750 0.5941 0.9207  2 S 2.47-2.59
Ag 0.5458 0.3266 0.9207  2 S 2.47-2.59
Ag 0.5941 0.8750 0.4207  2 S 2.47-2.59
Ag 0.9059 0.8266 0.7809  2 S 2.47-2.59
Ag 0.9059 0.0793 0.6250  2 S 2.47-2.59
Ag 0.8750 0.2809 0.4542  2 S 2.47-2.59
Ag 0.1734 0.0793 0.9542  2 S 2.47-2.59
Ag 0.6250 0.5793 0.9059  2 S 2.47-2.59
Ag 0.4207 0.0458 0.3266  2 S 2.47-2.59
Ag 0.2809 0.4059 0.8266  2 S 2.47-2.59
Ag 0.2191 0.5458 0.6250  2 S 2.47-2.59
Ag 0.9207 0.0941 0.8750  2 S 2.47-2.59
Ag 0.6734 0.2191 0.5941  2 S 2.47-2.59
Ag 0.4542 0.7809 0.8750  2 S 2.47-2.59
Ag 0.0458 0.4207 0.8266  2 S 2.47-2.59
Ag 0.4059 0.2809 0.3266  2 S 2.47-2.59
Ag 0.0458 0.6250 0.7191  2 S 2.47-2.59
Ag 0.6734 0.4542 0.5793  2 S 2.47-2.59
Ag 0.2809 0.8750 0.9542  2 S 2.47-2.59